The following is a PBE calculation of a relaxed CaTb2Hg3 crystal, from Alexandria.

Cell lengths 5.294, 5.294, 12.956 Å; angles 90.00, 90.00, 120.00 degrees
Positions (direct):
Tb: 0.000 0.000 0.500
Tb: 0.667 0.333 0.832
Tb: 0.333 0.667 0.168
Tb: 0.000 0.000 0.000
Hg: 0.333 0.667 0.417
Hg: 0.000 0.000 0.751
Hg: 0.667 0.333 0.583
Hg: 0.667 0.333 0.082
Hg: 0.000 0.000 0.249
Hg: 0.333 0.667 0.918
Ca: 0.333 0.667 0.667
Ca: 0.667 0.333 0.333

Computed properties:
- formation energy (eV per atom) = -0.520
- M_tot (Bohr magnetons per cell) = 0.00